Record 1
This record from Alexandria describes a crystal of Sr2RhO4 relaxed with PBEsol. The functional is SCAN.

Cell lengths 5.405, 5.405, 13.449 Å; angles 101.59, 101.59, 90.00 degrees
Site moments in Bohr magnetons follow the coordinates.
Element x y z (fractional)
Sr1 0.175 0.175 0.351  0.00
Sr2 0.325 0.325 0.649  0.00
Sr3 0.575 0.075 0.149  0.00
Sr4 0.425 0.925 0.851  0.00
Sr5 0.825 0.825 0.649  0.00
Sr6 0.675 0.675 0.351  0.00
Sr7 0.075 0.575 0.149  0.00
Sr8 0.925 0.425 0.851  0.00
Rh1 0.000 0.000 0.000  0.59
Rh2 0.750 0.250 0.500  0.59
Rh3 0.250 0.750 0.500  0.59
Rh4 0.500 0.500 0.000  0.59
O1 0.554 0.554 0.500  0.15
O2 0.054 0.446 0.500  0.15
O3 0.080 0.080 0.159  0.03
O4 0.920 0.920 0.841  0.03
O5 0.830 0.330 0.659  0.03
O6 0.670 0.170 0.341  0.03
O7 0.446 0.054 0.500  0.15
O8 0.304 0.804 0.000  0.15
O9 0.804 0.696 0.000  0.15
O10 0.946 0.946 0.500  0.15
O11 0.170 0.670 0.341  0.03
O12 0.580 0.580 0.159  0.03
O13 0.420 0.420 0.841  0.03
O14 0.330 0.830 0.659  0.03
O15 0.196 0.304 0.000  0.15
O16 0.696 0.196 0.000  0.15

Computed properties:
The crystal system is tetragonal. The volume is 376.7 Å³/cell. For the formation energy from raw total energies, the calculation gives -2.257 eV/atom. The value obtained for the distance to the lowest polymorph of the same formula is 0.000 eV/atom. The calculation puts the electronic total energy at -0.6250 hartree per atom. The calculation puts the density of states at the Fermi level at 11.42 states/eV per cell.

***

Record 2
This record from Alexandria describes a crystal of Sr4RhO6 relaxed with PBEsol. The functional is SCAN.

Cell lengths 6.820, 6.820, 6.820 Å; angles 90.04, 90.04, 90.04 degrees
Site moments in Bohr magnetons follow the coordinates.
Element x y z (fractional)
Sr1 0.617 0.250 0.883  0.00
Sr2 0.383 0.750 0.117  0.00
Sr3 0.883 0.617 0.250  0.00
Sr4 0.250 0.883 0.617  0.00
Sr5 0.750 0.750 0.750  0.00
Sr6 0.750 0.117 0.383  0.00
Sr7 0.250 0.250 0.250  0.00
Sr8 0.117 0.383 0.750  0.00
Rh1 0.000 0.000 0.000  0.54
Rh2 0.500 0.500 0.500  0.54
O1 0.573 0.783 0.441  0.07
O2 0.783 0.441 0.573  0.07
O3 0.283 0.073 0.941  0.07
O4 0.427 0.217 0.559  0.07
O5 0.559 0.427 0.217  0.07
O6 0.717 0.927 0.059  0.07
O7 0.441 0.573 0.783  0.07
O8 0.927 0.059 0.717  0.07
O9 0.941 0.283 0.073  0.07
O10 0.059 0.717 0.927  0.07
O11 0.217 0.559 0.427  0.07
O12 0.073 0.941 0.283  0.07

Computed properties:
The crystal system is trigonal. The volume is 317.3 Å³/cell. For the formation energy from raw total energies, the calculation gives -2.543 eV/atom. The calculation puts the electronic total energy at -0.6289 hartree per atom. The calculation puts the density of states at the Fermi level at 10.44 states/eV per cell.

***

Record 3
This record from Alexandria describes a crystal of Sr3Rh2O7 relaxed with PBEsol. The functional is SCAN.

Cell lengths 5.428, 5.427, 10.801 Å; angles 90.00, 104.55, 90.00 degrees
Site moments in Bohr magnetons follow the coordinates.
Element x y z (fractional)
Sr1 0.187 0.500 0.375  0.00
Sr2 0.813 0.500 0.625  0.00
Sr3 0.000 0.500 0.000  0.01
Sr4 0.687 0.000 0.375  0.00
Sr5 0.313 0.000 0.625  0.00
Sr6 0.500 0.000 0.000  0.01
Rh1 0.097 0.000 0.195  0.58
Rh2 0.597 0.500 0.195  0.58
Rh3 0.903 0.000 0.805  0.58
Rh4 0.403 0.500 0.805  0.58
O1 0.194 0.000 0.388  0.04
O2 0.597 0.193 0.807  0.13
O3 0.290 0.693 0.193  0.13
O4 0.710 0.693 0.807  0.13
O5 0.403 0.193 0.193  0.13
O6 0.000 0.000 0.000  0.12
O7 0.694 0.500 0.388  0.04
O8 0.806 0.000 0.612  0.04
O9 0.097 0.307 0.807  0.13
O10 0.790 0.807 0.193  0.13
O11 0.210 0.807 0.807  0.13
O12 0.903 0.307 0.193  0.13
O13 0.306 0.500 0.612  0.04
O14 0.500 0.500 0.000  0.12

Computed properties:
The crystal system is orthorhombic. The volume is 308.0 Å³/cell. For the formation energy from raw total energies, the calculation gives -2.098 eV/atom. The calculation puts the electronic total energy at -0.6222 hartree per atom. The calculation puts the density of states at the Fermi level at 12.53 states/eV per cell.

***

Record 4
This record from Alexandria describes a crystal of Sr2RhO4 relaxed with PBEsol. The functional is SCAN.

Cell lengths 3.871, 3.871, 6.847 Å; angles 106.42, 106.42, 90.00 degrees
Site moments in Bohr magnetons follow the coordinates.
Element x y z (fractional)
Sr1 0.354 0.354 0.709  0.00
Sr2 0.646 0.646 0.291  0.00
Rh1 0.000 0.000 0.000  0.61
O1 0.162 0.162 0.324  0.01
O2 0.838 0.838 0.676  0.01
O3 0.500 0.000 0.000  0.16
O4 0.000 0.500 0.000  0.16

Computed properties:
The crystal system is tetragonal. The volume is 94.0 Å³/cell. For the formation energy from raw total energies, the calculation gives -2.247 eV/atom. The value obtained for the distance to the lowest polymorph of the same formula is 0.010 eV/atom. The calculation puts the electronic total energy at -0.6246 hartree per atom. The calculation puts the density of states at the Fermi level at 1.84 states/eV per cell.

***

Record 5
This record from Alexandria describes a crystal of SrTi2RhO relaxed with PBEsol. The functional is SCAN.

Cell lengths 4.542, 4.847, 4.847 Å; angles 90.00, 90.00, 90.00 degrees
Element x y z (fractional)
Sr1 0.000 0.000 0.000
Rh1 0.500 0.000 0.000
O1 0.500 0.500 0.500
Ti1 0.000 0.000 0.500
Ti2 0.000 0.500 0.000

Computed properties:
The crystal system is tetragonal. The volume is 106.7 Å³/cell. For the formation energy from raw total energies, the calculation gives 2.465 eV/atom. The calculation puts the electronic total energy at -0.6028 hartree per atom. The calculation puts the density of states at the Fermi level at 6.60 states/eV per cell.

***

Record 6
This record from Alexandria describes a crystal of TbRhO3 relaxed with PBEsol. The functional is SCAN.

Cell lengths 5.168, 5.773, 7.527 Å; angles 90.00, 90.00, 90.00 degrees
Element x y z (fractional)
Tb1 0.467 0.587 0.750
Tb2 0.967 0.913 0.250
Tb3 0.033 0.087 0.750
Tb4 0.533 0.413 0.250
Rh1 0.500 0.000 0.500
Rh2 0.000 0.500 0.500
Rh3 0.000 0.500 0.000
Rh4 0.500 0.000 0.000
O1 0.826 0.191 0.441
O2 0.326 0.309 0.559
O3 0.674 0.691 0.059
O4 0.174 0.809 0.941
O5 0.174 0.809 0.559
O6 0.674 0.691 0.441
O7 0.326 0.309 0.941
O8 0.826 0.191 0.059
O9 0.368 0.049 0.250
O10 0.868 0.451 0.750
O11 0.132 0.549 0.250
O12 0.632 0.951 0.750

Computed properties:
The crystal system is orthorhombic. The volume is 224.6 Å³/cell. For the formation energy from raw total energies, the calculation gives -2.512 eV/atom. The calculation puts the electronic total energy at -0.8216 hartree per atom.

***

Record 7
This record from Alexandria describes a crystal of TeRhO2 relaxed with PBEsol. The functional is SCAN.

Cell lengths 2.981, 2.981, 7.348 Å; angles 78.30, 78.30, 60.00 degrees
Site moments in Bohr magnetons follow the coordinates.
Element x y z (fractional)
Te1 0.500 0.500 0.500  -0.03
Rh1 0.000 0.000 0.000  0.94
O1 0.913 0.913 0.262  0.14
O2 0.087 0.087 0.738  0.14

Computed properties:
The crystal system is trigonal. The volume is 55.0 Å³/cell. For the formation energy from raw total energies, the calculation gives -0.066 eV/atom. The calculation puts the electronic total energy at -0.7694 hartree per atom. The calculation puts the density of states at the Fermi level at 2.27 states/eV per cell.

***

Record 8
This record from Alexandria describes a crystal of TlRhO2 relaxed with PBEsol. The functional is SCAN.

Cell lengths 3.132, 3.132, 7.124 Å; angles 77.30, 77.30, 60.00 degrees
Element x y z (fractional)
Tl1 0.000 0.000 0.000
Rh1 0.500 0.500 0.500
O1 0.878 0.878 0.367
O2 0.122 0.122 0.633

Computed properties:
The crystal system is trigonal. The volume is 58.5 Å³/cell. For the formation energy from raw total energies, the calculation gives -0.818 eV/atom. The calculation puts the electronic total energy at -1.1196 hartree per atom. The calculation puts the density of states at the Fermi level at 2.04 states/eV per cell.